P.
Below is a relaxed structure of PmSiNO, with properties calculated at the PBE level.

Cell lengths 6.670, 6.694, 5.279 Å; angles 90.00, 90.00, 90.00 degrees
Positions (direct):
Pm1 0.057 0.179 0.000
Pm2 0.443 0.179 0.500
Pm3 0.557 0.821 0.000
Pm4 0.943 0.821 0.500
Si1 0.087 0.661 0.000
Si2 0.413 0.661 0.500
Si3 0.587 0.339 0.000
Si4 0.913 0.339 0.500
N1 0.088 0.146 0.527
N2 0.412 0.146 0.027
N3 0.588 0.854 0.527
N4 0.912 0.854 0.027
O1 0.013 0.493 0.247
O2 0.487 0.493 0.747
O3 0.513 0.507 0.247
O4 0.987 0.507 0.747

Output
Space-group type: Pca2_1 (29)

=====

Q.
Below is a relaxed structure of PmSiNO, with properties calculated at the PBE level.

Cell lengths 3.815, 4.965, 5.337 Å; angles 90.00, 90.00, 90.00 degrees
Positions (direct):
Pm1 0.000 0.245 0.000
Pm2 0.000 0.755 0.500
Si1 0.500 0.240 0.500
Si2 0.500 0.760 0.000
N1 0.500 0.001 0.250
N2 0.500 0.999 0.750
O1 0.000 0.273 0.501
O2 0.000 0.727 0.001

Output
Space-group type: Pmc2_1 (26)

=====

R.
Below is a relaxed structure of PmSiNO, with properties calculated at the PBE level.

Cell lengths 3.289, 5.203, 6.149 Å; angles 90.00, 90.00, 90.00 degrees
Positions (direct):
Pm1 0.000 0.179 0.000
Pm2 0.000 0.821 0.500
Si1 0.500 0.363 0.501
Si2 0.500 0.637 0.001
N1 0.000 0.311 0.384
N2 0.000 0.689 0.884
O1 0.500 0.119 0.692
O2 0.500 0.881 0.192

Output
Space-group type: Pmc2_1 (26)

=====

S.
Below is a relaxed structure of PmSiNO, with properties calculated at the PBE level.

Cell lengths 4.664, 4.664, 5.010 Å; angles 90.00, 90.00, 90.00 degrees
Positions (direct):
Pm1 0.250 0.750 0.000
Pm2 0.750 0.250 0.000
Si1 0.250 0.250 0.498
Si2 0.750 0.750 0.502
N1 0.250 0.250 0.157
N2 0.750 0.750 0.843
O1 0.250 0.750 0.500
O2 0.750 0.250 0.500

Output
Space-group type: P4/nmm (129)

=====

Which of them is most stable, and which least? Most stable: R; least stable: S.

=====

P.
Below is a relaxed structure of SrPmNO, with properties calculated at the PBE level.

Cell lengths 3.925, 7.039, 6.051 Å; angles 90.00, 90.00, 90.00 degrees
Positions (direct):
Sr1 0.000 0.162 0.000
Sr2 0.000 0.838 0.500
Pm1 0.500 0.339 0.510
Pm2 0.500 0.661 0.010
N1 0.000 0.188 0.418
N2 0.000 0.812 0.918
O1 0.500 0.351 0.888
O2 0.500 0.649 0.388

Output
Space-group type: Pmc2_1 (26)

=====

Q.
Below is a relaxed structure of SrPmNO, with properties calculated at the PBE level.

Cell lengths 6.928, 8.131, 6.005 Å; angles 90.00, 90.00, 90.00 degrees
Positions (direct):
Sr1 0.087 0.123 0.000
Sr2 0.413 0.123 0.500
Sr3 0.587 0.877 0.000
Sr4 0.913 0.877 0.500
Pm1 0.086 0.618 0.984
Pm2 0.414 0.618 0.484
Pm3 0.586 0.382 0.984
Pm4 0.914 0.382 0.484
N1 0.057 0.156 0.576
N2 0.443 0.156 0.076
N3 0.557 0.844 0.576
N4 0.943 0.844 0.076
O1 0.094 0.609 0.599
O2 0.406 0.609 0.099
O3 0.594 0.391 0.599
O4 0.906 0.391 0.099

Output
Space-group type: Pca2_1 (29)

=====

R.
Below is a relaxed structure of SrPmNO, with properties calculated at the PBE level.

Cell lengths 4.286, 7.184, 5.118 Å; angles 90.00, 90.00, 90.00 degrees
Positions (direct):
Sr1 0.000 0.170 0.000
Sr2 0.000 0.830 0.500
Pm1 0.500 0.336 0.501
Pm2 0.500 0.664 0.001
N1 0.500 0.348 0.994
N2 0.500 0.652 0.494
O1 0.000 0.186 0.499
O2 0.000 0.814 0.999

Output
Space-group type: Pmc2_1 (26)

=====

S.
Below is a relaxed structure of SrPmNO, with properties calculated at the PBE level.

Cell lengths 5.085, 5.085, 5.176 Å; angles 90.00, 90.00, 90.00 degrees
Positions (direct):
Sr1 0.250 0.250 0.000
Sr2 0.750 0.750 0.000
Pm1 0.250 0.750 0.500
Pm2 0.750 0.250 0.500
N1 0.250 0.250 0.498
N2 0.750 0.750 0.502
O1 0.250 0.750 0.000
O2 0.750 0.250 0.000

Output
Space-group type: P4/nmm (129)

=====

Which of them is most stable, and which least? Most stable: S; least stable: Q.

=====

P.
Below is a relaxed structure of SrPmNO, with properties calculated at the PBE level.

Cell lengths 4.201, 4.201, 8.551 Å; angles 90.00, 90.00, 90.00 degrees
Positions (direct):
Sr1 0.250 0.750 0.000
Sr2 0.750 0.250 0.000
Pm1 0.250 0.250 0.381
Pm2 0.750 0.750 0.619
N1 0.250 0.250 0.838
N2 0.750 0.750 0.162
O1 0.250 0.750 0.500
O2 0.750 0.250 0.500

Output
Space-group type: P4/nmm (129)

=====

Q.
Below is a relaxed structure of SrPmNO, with properties calculated at the PBE level.

Cell lengths 7.234, 8.482, 5.129 Å; angles 90.00, 90.00, 90.00 degrees
Positions (direct):
Sr1 0.084 0.127 0.000
Sr2 0.416 0.127 0.500
Sr3 0.584 0.873 0.000
Sr4 0.916 0.873 0.500
Pm1 0.082 0.622 0.999
Pm2 0.418 0.622 0.499
Pm3 0.582 0.378 0.999
Pm4 0.918 0.378 0.499
N1 0.091 0.614 0.504
N2 0.409 0.614 0.004
N3 0.591 0.386 0.504
N4 0.909 0.386 0.004
O1 0.074 0.133 0.500
O2 0.426 0.133 0.000
O3 0.574 0.867 0.500
O4 0.926 0.867 0.000

Output
Space-group type: Pca2_1 (29)

=====

Which of them is most stable, and which least? Most stable: Q; least stable: P.

=====

P.
Below is a relaxed structure of PmZnNO, with properties calculated at the PBE level.

Cell lengths 5.608, 7.962, 5.192 Å; angles 90.00, 90.00, 90.00 degrees
Positions (direct):
Pm1 0.030 0.153 0.000
Pm2 0.470 0.153 0.500
Pm3 0.530 0.847 0.000
Pm4 0.970 0.847 0.500
Zn1 0.051 0.617 0.987
Zn2 0.449 0.617 0.487
Zn3 0.551 0.383 0.987
Zn4 0.949 0.383 0.487
N1 0.047 0.141 0.523
N2 0.453 0.141 0.023
N3 0.547 0.859 0.523
N4 0.953 0.859 0.023
O1 0.111 0.585 0.606
O2 0.389 0.585 0.106
O3 0.611 0.415 0.606
O4 0.889 0.415 0.106

Output
Space-group type: Pca2_1 (29)

=====

Q.
Below is a relaxed structure of PmZnNO, with properties calculated at the PBE level.

Cell lengths 3.739, 3.739, 7.931 Å; angles 90.00, 90.00, 90.00 degrees
Positions (direct):
Pm1 0.250 0.250 0.160
Pm2 0.750 0.750 0.840
Zn1 0.250 0.750 0.500
Zn2 0.750 0.250 0.500
N1 0.250 0.250 0.637
N2 0.750 0.750 0.363
O1 0.250 0.750 0.000
O2 0.750 0.250 0.000

Output
Space-group type: P4/nmm (129)

=====

Which of them is most stable, and which least? Most stable: P; least stable: Q.

=====

P.
Below is a relaxed structure of PmZnNO, with properties calculated at the PBE level.

Cell lengths 4.926, 4.926, 4.555 Å; angles 90.00, 90.00, 90.00 degrees
Positions (direct):
Pm1 0.250 0.750 0.000
Pm2 0.750 0.250 0.000
Zn1 0.250 0.250 0.490
Zn2 0.750 0.750 0.510
N1 0.250 0.250 0.008
N2 0.750 0.750 0.992
O1 0.250 0.750 0.500
O2 0.750 0.250 0.500

Output
Space-group type: P4/nmm (129)

=====

Q.
Below is a relaxed structure of PmZnNO, with properties calculated at the PBE level.

Cell lengths 3.437, 5.620, 5.819 Å; angles 90.00, 90.00, 90.00 degrees
Positions (direct):
Pm1 0.000 0.201 0.000
Pm2 0.000 0.799 0.500
Zn1 0.500 0.249 0.525
Zn2 0.500 0.751 0.025
N1 0.500 0.046 0.248
N2 0.500 0.954 0.748
O1 0.000 0.409 0.625
O2 0.000 0.591 0.125

Output
Space-group type: Pmc2_1 (26)

=====

R.
Below is a relaxed structure of PmZnNO, with properties calculated at the PBE level.

Cell lengths 3.739, 6.056, 5.363 Å; angles 90.00, 90.00, 90.00 degrees
Positions (direct):
Pm1 0.000 0.206 0.000
Pm2 0.000 0.794 0.500
Zn1 0.500 0.299 0.503
Zn2 0.500 0.701 0.003
N1 0.000 0.174 0.448
N2 0.000 0.826 0.948
O1 0.500 0.378 0.882
O2 0.500 0.622 0.382

Output
Space-group type: Pmc2_1 (26)

=====

Which of them is most stable, and which least? Most stable: R; least stable: P.

=====

P.
Below is a relaxed structure of PmZrNO, with properties calculated at the PBE level.

Cell lengths 8.096, 6.478, 4.965 Å; angles 90.00, 90.00, 90.00 degrees
Positions (direct):
Pm1 0.137 0.076 0.250
Pm2 0.137 0.424 0.750
Pm3 0.863 0.576 0.250
Pm4 0.863 0.924 0.750
Zr1 0.390 0.561 0.250
Zr2 0.390 0.939 0.750
Zr3 0.610 0.061 0.250
Zr4 0.610 0.439 0.750
N1 0.142 0.049 0.750
N2 0.142 0.451 0.250
N3 0.858 0.549 0.750
N4 0.858 0.951 0.250
O1 0.378 0.612 0.750
O2 0.378 0.888 0.250
O3 0.622 0.112 0.750
O4 0.622 0.388 0.250

Output
Space-group type: Pbcm (57)

=====

Q.
Below is a relaxed structure of PmZrNO, with properties calculated at the PBE level.

Cell lengths 7.994, 6.694, 4.776 Å; angles 90.00, 90.00, 90.00 degrees
Positions (direct):
Pm1 0.126 0.054 0.250
Pm2 0.126 0.446 0.750
Pm3 0.874 0.554 0.250
Pm4 0.874 0.946 0.750
Zr1 0.378 0.593 0.250
Zr2 0.378 0.907 0.750
Zr3 0.622 0.093 0.250
Zr4 0.622 0.407 0.750
N1 0.400 0.584 0.750
N2 0.400 0.916 0.250
N3 0.600 0.084 0.750
N4 0.600 0.416 0.250
O1 0.156 0.094 0.750
O2 0.156 0.406 0.250
O3 0.844 0.594 0.750
O4 0.844 0.906 0.250

Output
Space-group type: Pbcm (57)

=====

Which of them is most stable, and which least? Most stable: Q; least stable: P.

=====

P.
Below is a relaxed structure of RbPrNO, with properties calculated at the PBE level.

Cell lengths 5.510, 5.510, 4.835 Å; angles 90.00, 90.00, 90.00 degrees
Positions (direct):
Rb1 0.250 0.250 0.004
Rb2 0.750 0.750 0.996
Pr1 0.250 0.750 0.500
Pr2 0.750 0.250 0.500
N1 0.250 0.250 0.504
N2 0.750 0.750 0.496
O1 0.250 0.750 0.000
O2 0.750 0.250 0.000

Output
Space-group type: P4/nmm (129)

=====

Q.
Below is a relaxed structure of RbPrNO, with properties calculated at the PBE level.

Cell lengths 7.125, 8.932, 6.426 Å; angles 90.00, 90.00, 90.00 degrees
Positions (direct):
Rb1 0.072 0.121 0.000
Rb2 0.428 0.121 0.500
Rb3 0.572 0.879 0.000
Rb4 0.928 0.879 0.500
Pr1 0.094 0.609 0.948
Pr2 0.406 0.609 0.448
Pr3 0.594 0.391 0.948
Pr4 0.906 0.391 0.448
N1 0.020 0.176 0.538
N2 0.480 0.176 0.038
N3 0.520 0.824 0.538
N4 0.980 0.824 0.038
O1 0.111 0.568 0.593
O2 0.389 0.568 0.093
O3 0.611 0.432 0.593
O4 0.889 0.432 0.093

Output
Space-group type: Pca2_1 (29)

=====

Which of them is most stable, and which least? Most stable: Q; least stable: P.